Entry 1:
Material: Cs2LiPaI6
Method: DFT, PBE
State: relaxed

```
Cs2LiPaI6
1.0
4.324 2.497 14.386
-4.324 2.497 14.386
0.000 -4.993 14.386
Cs Li Pa I
4 2 2 12
Cartesian
0.000 0.000 5.363
0.000 0.000 12.667
0.000 0.000 30.490
0.000 0.000 37.794
0.000 0.000 18.017
0.000 0.000 25.140
0.000 0.000 0.000
0.000 0.000 21.578
-2.174 -1.255 19.708
0.000 -2.442 16.204
-2.115 1.221 16.204
-2.115 -1.221 26.953
0.000 -2.511 23.448
-2.174 1.255 23.448
2.174 -1.255 19.708
0.000 2.511 19.708
2.115 1.221 16.204
2.115 -1.221 26.953
0.000 2.442 26.953
2.174 1.255 23.448
```

Calculated values
The total energy is -3.42 eV per atom. The density of states at the Fermi level comes out at 7.9 states/eV/f.u.

---

Entry 2:
Material: MgTcGe3
Method: DFT, PBE
State: relaxed

```
MgTcGe3
1.0
4.859 0.000 0.000
0.000 4.859 0.000
0.000 0.000 4.859
Mg Tc Ge
1 1 3
Cartesian
0.000 0.000 0.000
2.429 2.429 2.429
0.000 2.429 2.429
2.429 0.000 2.429
2.429 2.429 0.000
```

Calculated values
The excess energy over the best structure of this formula in the dataset is 0 meV/atom. The formation energy is 126 kJ/mol of formula units. The total energy is -4.90 eV per atom. The density of states at the Fermi level comes out at 6.6 states/eV/f.u.

---

Entry 3:
Material: Ca2LaHgP
Method: DFT, PBE
State: relaxed

```
Ca2LaHgP
1.0
5.403 0.000 0.000
0.000 5.403 0.000
0.000 0.000 5.735
Ca La Hg P
2 1 1 1
Cartesian
0.000 2.701 0.000
2.701 0.000 0.000
0.000 0.000 2.867
2.701 2.701 2.867
0.000 0.000 0.000
```

Calculated values
The formation energy is -283 kJ/mol of formula units. The total energy is -3.52 eV per atom. The density of states at the Fermi level comes out at 6.3 states/eV/f.u.

---

Entry 4:
Material: K3SiCl
Method: DFT, PBE
State: relaxed

```
K3SiCl
1.0
5.926 0.000 0.000
0.000 5.926 0.000
0.000 0.000 5.926
K Si Cl
3 1 1
Cartesian
0.000 0.000 2.963
0.000 2.963 0.000
2.963 0.000 0.000
2.963 2.963 2.963
0.000 0.000 0.000
```

Calculated values
The excess energy over the best structure of this formula in the dataset is 0 meV/atom. The total energy is -2.51 eV per atom. The density of states at the Fermi level comes out at 2.2 states/eV/f.u.

---

Entry 5:
Material: LaHfRu2
Method: DFT, PBE
State: relaxed

```
LaHfRu2
1.0
-2.436 2.436 8.549
2.436 -2.436 8.549
2.436 2.436 -8.549
La Hf Ru
2 2 4
Cartesian
0.000 0.000 0.000
0.000 2.436 4.275
2.436 0.000 4.275
0.000 0.000 8.549
1.218 -0.485 6.412
1.951 1.218 2.137
1.218 2.922 -2.137
0.485 1.218 10.686
```

Calculated values
The formation energy is 159 kJ/mol of formula units. The total energy is -7.95 eV per atom. The density of states at the Fermi level comes out at 6.8 states/eV/f.u.

---

Entry 6:
Material: Ga2GeO5
Method: DFT, PBE
State: relaxed

```
Ga2GeO5
1.0
1.852 -4.959 0.000
1.852 4.959 0.000
0.000 0.000 9.722
Ga Ge O
4 2 10
Cartesian
1.852 3.636 5.516
1.852 3.636 9.068
1.852 -3.636 0.655
1.852 -3.636 4.206
1.852 3.137 2.431
1.852 -3.137 7.292
1.852 4.422 1.122
1.852 4.422 3.740
1.852 2.422 7.292
1.852 1.887 0.863
1.852 1.887 3.998
1.852 -1.887 5.724
1.852 -1.887 8.859
1.852 -2.422 2.431
1.852 -4.422 5.983
1.852 -4.422 8.601
```

Calculated values
The excess energy over the best structure of this formula in the dataset is 0 meV/atom. The total energy is -6.16 eV per atom. The density of states at the Fermi level comes out at 0.0 states/eV/f.u.